## BaRe2Se (GGA-PBEsol)

Data for a geometry-optimized BaRe2Se structure.

Summary:
ΔE_f (raw): 0.334 eV per atom
Theoretical density: 12.03 g/cm3

```
BaRe2Se
1.0
3.187 0.000 0.000
0.000 3.187 0.000
0.000 0.000 8.000
Ba Re Se
1 2 1
direct
0.000 0.000 0.000 Ba
0.000 0.000 0.477 Re
0.500 0.500 0.312 Re
0.500 0.500 0.679 Se
```